VASP calculation (PBE+U) on a relaxed structure of PmCrAg2F8.

Summary:
DOS at the Fermi energy = 0.00 states/eV/atom
Uncorrected energy = -63.4 eV per cell
Theoretical density = 4.89 g/cm³
Crystal system = monoclinic
Symmetry = P2/m (10)

Cell lengths 4.782, 6.922, 5.800 Å; angles 90.00, 92.94, 90.00 degrees
Element x y z (fractional)
Pm 0.000 0.000 0.000
Cr 0.000 0.500 0.000
Ag 0.500 0.274 0.500
Ag 0.500 0.726 0.500
F 0.136 0.281 0.814
F 0.136 0.719 0.814
F 0.326 0.500 0.206
F 0.384 0.000 0.240
F 0.616 0.000 0.760
F 0.674 0.500 0.794
F 0.864 0.281 0.186
F 0.864 0.719 0.186